A.
First-principles (GGA-PBE) data for an optimized crystal structure of YMn2Fe2, as listed in Alexandria via LeMat-Bulk.

Structure (POSCAR):
```
YMn2Fe2
1.0
7.1482 0.0000 0.0000
0.0000 7.1482 0.0000
0.0000 0.0000 2.6057
Y Mn Fe
2 4 4
direct
0.0000 0.0000 0.0000
0.5000 0.5000 0.0000
0.1616 0.3384 0.5000
0.3384 0.8384 0.5000
0.6616 0.1616 0.5000
0.8384 0.6616 0.5000
0.1215 0.6215 0.0000
0.3785 0.1215 0.0000
0.6215 0.8785 0.0000
0.8785 0.3785 0.0000
```

M_tot = 0.0 μB per cell

B.
First-principles (GGA-PBE) data for an optimized crystal structure of YMn2Fe2, as listed in Alexandria via LeMat-Bulk.

Structure (POSCAR):
```
YMn2Fe2
1.0
-1.9628 1.9628 4.6981
1.9628 -1.9628 4.6981
1.9628 1.9628 -4.6981
Y Mn Fe
1 2 2
direct
0.0000 0.0000 0.0000
0.2500 0.7500 0.5000
0.7500 0.2500 0.5000
0.3748 0.3748 0.0000
0.6252 0.6252 0.0000
```

M_tot = 1.9 μB per cell

Which of them is most stable, and which least? Most stable: B; least stable: A.